Here is AcDy2PtO8 after structural relaxation from Alexandria. Energies are from PBE.

Lattice parameters (Å, degrees): 5.0539 7.1368 5.0650 90.00 90.17 90.00
Positions (direct):
Ac 0.0000 0.0000 0.0000
Dy 0.5000 0.2627 0.5000
Dy 0.5000 0.7373 0.5000
Pt 0.0000 0.5000 0.0000
O 0.1897 0.2983 0.8139
O 0.1897 0.7017 0.8139
O 0.2761 0.5000 0.2795
O 0.3254 0.0000 0.3288
O 0.6746 0.0000 0.6712
O 0.7239 0.5000 0.7205
O 0.8103 0.2983 0.1861
O 0.8103 0.7017 0.1861

Calculated values
* electronic total energy: -85.0 eV for the cell shown
* ΔE_f (raw): -2.162 eV/atom
* space group: No. 10

=====

Here is Ac2DyPtO8 after structural relaxation from Alexandria. Energies are from PBE.

Lattice parameters (Å, degrees): 5.6681 5.6681 6.2761 90.00 90.00 120.00
Positions (direct):
Ac 0.3333 0.6667 0.3613
Ac 0.6667 0.3333 0.6387
Dy 0.0000 0.0000 0.0000
Pt 0.0000 0.0000 0.5000
O 0.1594 0.3189 0.6969
O 0.1594 0.8406 0.6969
O 0.3189 0.1594 0.3031
O 0.3333 0.6667 0.0199
O 0.6667 0.3333 0.9801
O 0.6811 0.8406 0.6969
O 0.8406 0.1594 0.3031
O 0.8406 0.6811 0.3031

Calculated values
* electronic total energy: -80.6 eV for the cell shown
* ΔE_f (raw): -1.842 eV/atom
* space group: No. 164

=====

Here is Ac2DyPt3O12 after structural relaxation from Alexandria. Energies are from PBE.

Lattice parameters (Å, degrees): 6.8624 6.8624 6.8624 62.79 62.79 62.79
Positions (direct):
Ac 0.1167 0.1167 0.1167
Ac 0.8833 0.8833 0.8833
Dy 0.5000 0.5000 0.5000
Pt 0.0000 0.5000 0.5000
Pt 0.5000 0.0000 0.5000
Pt 0.5000 0.5000 0.0000
O 0.0671 0.6450 0.6450
O 0.2330 0.2330 0.6433
O 0.2330 0.6433 0.2330
O 0.3550 0.3550 0.9329
O 0.3550 0.9329 0.3550
O 0.3567 0.7670 0.7670
O 0.6433 0.2330 0.2330
O 0.6450 0.0671 0.6450
O 0.6450 0.6450 0.0671
O 0.7670 0.3567 0.7670
O 0.7670 0.7670 0.3567
O 0.9329 0.3550 0.3550

Calculated values
* electronic total energy: -119.6 eV for the cell shown
* ΔE_f (raw): -1.618 eV/atom
* space group: No. 166

=====

Here is AcDy2PuO8 after structural relaxation from Alexandria. Energies are from PBE.

Lattice parameters (Å, degrees): 4.1954 5.5678 7.7091 86.22 86.21 89.48
Positions (direct):
Ac 0.0000 0.0000 0.0000
Dy 0.4361 0.4545 0.2300
Dy 0.5639 0.5455 0.7700
Pu 0.0000 0.0000 0.5000
O 0.0768 0.7250 0.7336
O 0.1460 0.8086 0.3052
O 0.3625 0.2133 0.4930
O 0.4665 0.2649 0.9895
O 0.5335 0.7351 0.0105
O 0.6375 0.7867 0.5070
O 0.8540 0.1914 0.6948
O 0.9232 0.2750 0.2664

Calculated values
* electronic total energy: -103.8 eV for the cell shown
* ΔE_f (raw): -3.038 eV/atom
* space group: No. 2

=====

Here is Rb3Ac3DyO8 after structural relaxation from Alexandria. Energies are from PBE.

Lattice parameters (Å, degrees): 7.9866 7.9866 7.9866 56.58 56.58 56.58
Positions (direct):
Rb 0.0000 0.5000 0.5000
Rb 0.5000 0.0000 0.5000
Rb 0.5000 0.5000 0.0000
Ac 0.0000 0.0000 0.5000
Ac 0.0000 0.5000 0.0000
Ac 0.5000 0.0000 0.0000
Dy 0.5000 0.5000 0.5000
O 0.2287 0.2287 0.2287
O 0.2465 0.7118 0.7118
O 0.2882 0.2882 0.7535
O 0.2882 0.7535 0.2882
O 0.7118 0.2465 0.7118
O 0.7118 0.7118 0.2465
O 0.7535 0.2882 0.2882
O 0.7713 0.7713 0.7713

Calculated values
* electronic total energy: -97.9 eV for the cell shown
* ΔE_f (raw): -2.562 eV/atom
* space group: No. 166

=====

Here is Rb3Ac2DyO6 after structural relaxation from Alexandria. Energies are from PBE.

Lattice parameters (Å, degrees): 6.5182 6.5182 6.9721 98.89 98.89 120.05
Positions (direct):
Rb 0.0000 0.0000 0.0000
Rb 0.3386 0.6614 0.0000
Rb 0.6614 0.3386 0.0000
Ac 0.1669 0.8331 0.5000
Ac 0.8331 0.1669 0.5000
Dy 0.5000 0.5000 0.5000
O 0.1281 0.4397 0.3187
O 0.2482 0.2482 0.6812
O 0.4397 0.1281 0.3187
O 0.5603 0.8719 0.6813
O 0.7518 0.7518 0.3188
O 0.8719 0.5603 0.6813

Calculated values
* electronic total energy: -76.3 eV for the cell shown
* ΔE_f (raw): -2.567 eV/atom
* space group: No. 12

=====

Here is AcDy2ReO8 after structural relaxation from Alexandria. Energies are from PBE.

Lattice parameters (Å, degrees): 5.1132 5.1132 7.0438 90.00 90.00 91.39
Positions (direct):
Ac 0.0000 0.0000 0.0000
Dy 0.5000 0.5000 0.2493
Dy 0.5000 0.5000 0.7507
Re 0.0000 0.0000 0.5000
O 0.1862 0.1862 0.3053
O 0.1862 0.1862 0.6947
O 0.2605 0.7395 0.5000
O 0.3230 0.6770 0.0000
O 0.6770 0.3230 0.0000
O 0.7395 0.2605 0.5000
O 0.8138 0.8138 0.3053
O 0.8138 0.8138 0.6947

Calculated values
* electronic total energy: -98.5 eV for the cell shown
* ΔE_f (raw): -2.757 eV/atom
* space group: No. 65

=====

Here is AcDyRhO6 after structural relaxation from Alexandria. Energies are from PBE.

Lattice parameters (Å, degrees): 5.5483 5.5483 5.3051 90.00 90.00 120.00
Positions (direct):
Ac 0.0000 0.0000 0.0000
Dy 0.3333 0.6667 0.5000
Rh 0.6667 0.3333 0.5000
O 0.3802 0.0380 0.7128
O 0.3802 0.3422 0.2872
O 0.6578 0.0380 0.2872
O 0.6578 0.6198 0.7128
O 0.9620 0.3422 0.7128
O 0.9620 0.6198 0.2872

Calculated values
* electronic total energy: -64.6 eV for the cell shown
* ΔE_f (raw): -2.087 eV/atom
* space group: No. 149

=====

no.,total moment (μB/atom)
1,0.109
2,0.256
3,0.081
4,0.083
5,0.066
6,0.000
7,0.000
8,0.332